Computed, not measured: an optimized crystal structure of PaFe2RhO6 at the GGA+U level of DFT.

a b c (Å): 5.512 5.504 9.672
angles (deg): 90.00 124.70 90.00
Space group P2_1/c (No. 14)
Inequivalent atoms, fractional coordinates:
Pa: 0.000 0.000 0.000
Fe: 0.240 0.030 0.753
Rh: 0.500 0.000 0.500
O: 0.135 0.101 0.263
O: 0.243 0.665 0.068
O: 0.406 0.177 0.068

Output
- raw total energy (eV/atom) = -7.687